# Ba2TbMnO5 (PBE+U, optimized geometry)
# Energy ... -63.368 eV/f.u.
data_Ba2TbMnO5
_chemical_formula_sum 'Ba8 Tb4 Mn4 O20'
_symmetry_space_group_name_H-M 'C m c 21'
_symmetry_Int_Tables_number 36
_cell_length_a 3.639
_cell_length_b 15.391
_cell_length_c 11.252
_cell_angle_alpha 90.00
_cell_angle_beta 90.00
_cell_angle_gamma 90.00
loop_
_symmetry_equiv_pos_as_xyz
'x,y,z'
'-x,-y,z+1/2'
'-x,y,z'
'x,-y,z+1/2'
'x+1/2,y+1/2,z'
'-x+1/2,-y+1/2,z+1/2'
'-x+1/2,y+1/2,z'
'x+1/2,-y+1/2,z+1/2'
loop_
_atom_site_label
_atom_site_fract_x
_atom_site_fract_y
_atom_site_fract_z
Ba1 0.000 0.114 0.000
Ba2 0.000 0.133 0.643
Tb1 0.000 0.207 0.344
Mn1 0.000 0.449 0.748
O1 0.000 0.046 0.296
O2 0.000 0.294 0.972
O3 0.000 0.319 0.713
O4 0.000 0.347 0.328
O5 0.000 0.495 0.100